Entry 1:
# La2InPdO6

A relaxed La2InPdO6 crystal (PBE-GGA, Alexandria).

Results
ΔE_f (raw) in kcal/mol of atoms: -50.23
Density of states at the Fermi level in states/eV/atom: 0.0562
Crystal system: monoclinic

```
20
Lattice="5.686 0.000 -0.035 0.000 6.136 0.000 -0.002 0.000 8.053" Properties=species:S:1:pos:R:3 pbc="T T T"
La 0.116 5.696 2.027
La 2.958 3.508 6.036
La 5.568 0.440 5.991
La 2.726 2.628 1.982
In 2.843 0.000 -0.018
In -0.001 3.068 4.027
Pd 2.842 0.000 4.009
Pd 0.000 3.068 0.000
O 1.721 4.213 0.419
O 4.563 4.991 4.428
O 3.963 1.923 7.599
O 1.121 1.145 3.590
O 1.726 4.193 3.515
O 4.568 5.011 7.524
O 3.958 1.943 4.503
O 1.116 1.125 0.494
O 5.020 3.333 1.913
O 2.176 5.871 5.957
O 0.664 2.803 6.105
O 3.508 0.265 2.061
```


Entry 2:
# Sr2ZnInPt

A relaxed Sr2ZnInPt crystal (PBE-GGA, Alexandria).

Results
Density of states at the Fermi level in states/eV/atom: 0.8217
Crystal system: tetragonal

```
5
Lattice="5.826 0.000 0.000 0.000 5.826 0.000 0.000 0.000 4.910" Properties=species:S:1:pos:R:3 pbc="T T T"
Sr 0.000 2.913 0.000
Sr 2.913 0.000 0.000
Zn 0.000 0.000 2.455
Pt 0.000 0.000 0.000
In 2.913 2.913 2.455
```


Entry 3:
# Cs3Pr2DyS6

A relaxed Cs3Pr2DyS6 crystal (PBE-GGA, Alexandria).

Results
ΔE_f (raw) in kcal/mol of atoms: -41.74
Density of states at the Fermi level in states/eV/atom: 0.0000
Crystal system: monoclinic

```
12
Lattice="-4.864 -4.779 -2.663 7.099 -1.766 0.264 -1.786 -0.892 8.217" Properties=species:S:1:pos:R:3 pbc="T T T"
Cs 4.197 -2.718 3.881
Cs -3.747 -4.719 1.937
Cs 0.225 -3.718 2.909
Pr 3.110 -2.771 -0.712
Pr -0.875 -3.774 -1.687
Dy 0.000 0.000 0.000
S -1.652 -6.297 4.360
S 1.320 -5.001 -0.245
S 2.102 -1.140 1.459
S 2.214 -5.323 5.306
S -0.870 -2.436 6.063
S -1.765 -2.114 0.513
```


Entry 4:
# ScTl2Pt

A relaxed ScTl2Pt crystal (PBE-GGA, Alexandria).

Results
Density of states at the Fermi level in states/eV/atom: 0.5525
Crystal system: monoclinic

```
4
Lattice="-3.367 -3.246 1.541 -2.194 -4.011 -1.830 3.246 -4.301 2.105" Properties=species:S:1:pos:R:3 pbc="T T T"
Pt -1.408 -5.644 0.790
Sc -0.286 -2.955 0.571
Tl -5.461 -7.322 -0.239
Tl -1.878 -8.672 1.314
```


Entry 5:
# NdDy2Si2

A relaxed NdDy2Si2 crystal (PBE-GGA, Alexandria).

Results
ΔE_f (raw) in kcal/mol of atoms: -11.42
Energy above the lowest structure with this stoichiometry in meV/atom: 133
Density of states at the Fermi level in states/eV/atom: 0.9156
Crystal system: monoclinic

```
10
Lattice="4.155 0.000 0.000 0.000 5.596 -0.683 0.000 -2.932 11.724" Properties=species:S:1:pos:R:3 pbc="T T T"
Nd 1.039 3.898 2.026
Nd 3.116 -1.234 9.014
Dy 1.039 1.800 9.705
Dy 3.116 0.864 1.336
Dy 1.039 0.045 6.251
Dy 3.116 2.619 4.790
Si 1.039 2.951 6.759
Si 3.116 -0.287 4.281
Si 1.039 -0.877 11.244
Si 3.116 3.541 -0.204
```


Entry 6:
# AsIr2Rh

A relaxed AsIr2Rh crystal (PBE-GGA, Alexandria).

Results
Density of states at the Fermi level in states/eV/atom: 1.0483
Crystal system: orthorhombic

```
4
Lattice="-1.431 -2.196 -0.917 2.600 -0.287 0.932 -3.204 -1.457 8.488" Properties=species:S:1:pos:R:3 pbc="T T T"
As -1.812 -2.331 6.355
Ir -3.201 -1.456 8.480
Ir -0.216 -1.606 2.129
Rh -1.611 -0.733 4.268
```


Entry 7:
# CuAs4

A relaxed CuAs4 crystal (PBE-GGA, Alexandria).

Results
Energy above the lowest structure with this stoichiometry in meV/atom: 0
Density of states at the Fermi level in states/eV/atom: 0.2921
Crystal system: tetragonal

```
5
Lattice="-3.921 3.921 1.866 3.921 -3.921 1.866 3.921 3.921 -1.866" Properties=species:S:1:pos:R:3 pbc="T T T"
Cu 0.000 0.000 0.000
As 4.540 2.252 0.000
As 1.669 0.619 1.866
As -0.619 1.669 1.866
As 2.252 3.302 0.000
```


Entry 8:
# Ca2DyZrSb4

A relaxed Ca2DyZrSb4 crystal (PBE-GGA, Alexandria).

Results
ΔE_f (raw) in kcal/mol of atoms: -20.13
Density of states at the Fermi level in states/eV/atom: 0.3985
Crystal system: monoclinic

```
8
Lattice="-3.982 -0.030 1.608 2.459 -3.737 6.019 0.538 7.655 1.475" Properties=species:S:1:pos:R:3 pbc="T T T"
Ca -1.722 3.812 1.541
Ca 1.499 1.959 3.747
Dy -0.761 -1.883 3.814
Zr 0.000 0.000 0.000
Sb -1.295 0.866 2.542
Sb 0.311 3.022 6.560
Sb 1.013 4.946 2.600
Sb 1.984 -1.028 4.894
```


Entry 9:
# Co3HAu

A relaxed Co3HAu crystal (PBE-GGA, Alexandria).

Results
Energy above the lowest structure with this stoichiometry in meV/atom: 1879
Density of states at the Fermi level in states/eV/atom: 2.0918
Crystal system: cubic

```
5
Lattice="-3.070 2.728 -2.425 -3.383 -3.316 0.554 -1.369 2.077 4.070" Properties=species:S:1:pos:R:3 pbc="T T T"
Co -1.692 -1.658 0.277
Co -0.684 1.038 2.035
Co -1.535 1.364 -1.212
Au 0.000 0.000 0.000
H -3.911 0.744 1.099
```


Entry 10:
# CaCoH3

A relaxed CaCoH3 crystal (PBE-GGA, Alexandria).

Results
Density of states at the Fermi level in states/eV/atom: 0.0280
Crystal system: monoclinic

```
20
Lattice="-5.555 -6.067 0.814 -0.784 -3.847 -4.578 5.685 -1.443 -1.402" Properties=species:S:1:pos:R:3 pbc="T T T"
H -0.366 -4.256 -2.172
H 3.804 -5.486 -5.005
H -0.288 -7.101 -2.994
H -4.458 -5.871 -0.162
H 0.259 -2.294 -1.593
H 1.976 -6.148 -4.115
H -0.912 -9.062 -3.574
H -2.629 -5.209 -1.051
H 1.740 -5.151 -1.288
H -1.982 -7.988 -1.829
H -2.394 -6.206 -3.879
H 1.328 -3.368 -3.338
Ca -0.580 -6.074 -0.998
Ca -0.074 -5.282 -4.168
Ca -4.130 -6.936 -2.201
Ca 3.476 -4.421 -2.966
Co 0.962 -3.632 -1.653
Co 3.272 -2.275 -0.960
Co -1.615 -7.725 -3.513
Co -3.926 -9.081 -4.207
```


Entry 11:
# ZrAl2NiPb

A relaxed ZrAl2NiPb crystal (PBE-GGA, Alexandria).

Results
Density of states at the Fermi level in states/eV/atom: 1.1291
Crystal system: tetragonal

```
5
Lattice="-2.170 -3.145 3.556 4.635 -3.038 0.141 1.869 3.028 3.819" Properties=species:S:1:pos:R:3 pbc="T T T"
Pb 2.317 -1.519 0.071
Ni 2.167 -1.578 3.758
Al 0.935 1.514 1.910
Al -1.085 -1.573 1.778
Zr 0.000 0.000 0.000
```


Entry 12:
# BaSrZnIr

A relaxed BaSrZnIr crystal (PBE-GGA, Alexandria).

Results
Density of states at the Fermi level in states/eV/atom: 0.8663
Crystal system: trigonal

```
4
Lattice="4.453 -0.015 -0.003 -2.213 3.864 0.003 -2.224 -1.283 8.195" Properties=species:S:1:pos:R:3 pbc="T T T"
Ba 0.603 -0.351 3.085
Sr -3.835 2.231 7.246
Zn 0.612 2.221 0.950
Ir 2.834 0.928 0.984
```


Entry 13:
# ZnSiOs

A relaxed ZnSiOs crystal (PBE-GGA, Alexandria).

Results
ΔE_f (raw) in kcal/mol of atoms: 1.43
Density of states at the Fermi level in states/eV/atom: 0.4098
Crystal system: cubic

```
3
Lattice="-3.408 -1.704 1.239 -0.599 -3.922 -0.562 0.034 -2.501 3.131" Properties=species:S:1:pos:R:3 pbc="T T T"
Os -1.987 -4.064 1.904
Si -2.980 -6.096 2.856
Zn 0.000 0.000 0.000
```


Entry 14:
# AcErTmTh

A relaxed AcErTmTh crystal (PBE-GGA, Alexandria).

Results
Density of states at the Fermi level in states/eV/atom: 1.4814
Crystal system: cubic

```
4
Lattice="-3.606 2.518 3.743 -5.606 0.513 -1.291 -3.914 -3.175 2.820" Properties=species:S:1:pos:R:3 pbc="T T T"
Ac -3.282 -0.036 1.318
Tm -6.563 -0.072 2.636
Th -9.845 -0.108 3.954
Er 0.000 0.000 0.000
```


Entry 15:
# Y6TeP3Se2

A relaxed Y6TeP3Se2 crystal (PBE-GGA, Alexandria).

Results
ΔE_f (raw) in kcal/mol of atoms: -39.42
Density of states at the Fermi level in states/eV/atom: 0.3721
Crystal system: monoclinic

```
12
Lattice="-1.811 -1.474 3.329 4.998 -6.604 -0.206 5.269 6.783 3.387" Properties=species:S:1:pos:R:3 pbc="T T T"
Y 7.464 -2.210 3.081
Y 3.482 -2.707 3.178
Y 0.993 0.915 3.428
Y 4.784 3.440 6.609
Y 3.672 -4.735 -0.100
Y 4.975 1.412 3.331
Te -0.905 -0.737 1.664
P 1.594 -4.039 1.561
P 2.856 2.192 5.007
P 5.601 -3.488 1.502
Se 5.330 -1.117 4.887
Se 3.127 -0.178 1.622
```


Entry 16:
# Ho3Zn2Co

A relaxed Ho3Zn2Co crystal (PBE-GGA, Alexandria).

Results
Density of states at the Fermi level in states/eV/atom: 0.9874
Crystal system: orthorhombic

```
24
Lattice="-0.394 0.607 -4.297 -9.713 -3.355 0.416 -3.731 11.039 1.901" Properties=species:S:1:pos:R:3 pbc="T T T"
Ho -4.049 -0.517 -0.807
Ho -9.789 8.808 -1.173
Ho -10.547 2.383 -2.011
Ho -3.291 5.908 0.031
Ho -7.920 0.410 -0.321
Ho -5.919 7.881 -1.659
Ho -3.334 2.610 -2.640
Ho -10.504 5.681 0.660
Ho -5.852 2.996 -0.145
Ho -7.986 5.295 -1.835
Ho -9.847 -1.511 -2.625
Ho -3.991 9.802 0.645
Zn -8.769 3.206 0.152
Zn -5.069 5.085 -2.132
Zn -2.313 -0.127 -3.120
Zn -11.525 8.418 1.140
Zn -1.292 3.391 -0.507
Zn -12.546 4.899 -1.473
Zn -6.000 0.997 -2.624
Zn -7.838 7.294 0.644
Co -1.836 0.994 -0.796
Co -12.002 7.297 -1.184
Co -7.882 2.556 -2.231
Co -5.956 5.735 0.251
```


Entry 17:
# Sn2HgCl4

A relaxed Sn2HgCl4 crystal (PBE-GGA, Alexandria).

Results
ΔE_f (raw) in kcal/mol of atoms: -19.02
Energy above the lowest structure with this stoichiometry in meV/atom: 2
Density of states at the Fermi level in states/eV/atom: 0.0000
Crystal system: triclinic

```
14
Lattice="7.842 -0.013 -2.458 -0.983 7.780 -2.452 -0.109 -0.124 8.483" Properties=species:S:1:pos:R:3 pbc="T T T"
Cl 6.288 0.792 3.757
Cl 2.384 4.988 4.283
Cl 6.917 1.098 0.037
Cl 5.443 4.296 1.379
Cl 3.550 0.818 1.320
Cl 2.269 4.450 -0.478
Cl 2.523 1.612 5.569
Cl 5.851 4.047 -2.870
Sn 4.627 2.642 -0.479
Sn 4.197 2.907 3.762
Sn 4.874 7.138 -0.778
Sn 0.788 3.721 5.921
Hg 0.089 6.329 1.796
Hg -0.403 6.654 6.035
```


Entry 18:
# NaAgPtCl6

A relaxed NaAgPtCl6 crystal (PBE-GGA, Alexandria).

Results
ΔE_f (raw) in kcal/mol of atoms: -17.15
Crystal system: trigonal

```
18
Lattice="6.661 0.000 0.000 -3.330 5.768 0.000 0.000 0.000 11.383" Properties=species:S:1:pos:R:3 pbc="T T T"
Na 0.000 3.845 2.846
Na 3.330 1.923 8.538
Ag 0.000 0.000 0.000
Ag 0.000 0.000 5.692
Pt 3.330 1.923 2.846
Pt 0.000 3.845 8.538
Cl 2.387 3.595 1.465
Cl 5.250 1.903 1.465
Cl -0.977 5.498 7.157
Cl -1.920 3.865 9.918
Cl 1.410 1.903 4.227
Cl 4.273 3.595 4.227
Cl 0.977 5.498 9.918
Cl 4.307 0.270 4.227
Cl -0.943 2.173 7.157
Cl 2.353 0.270 1.465
Cl 1.920 3.865 7.157
Cl 0.943 2.173 9.918
```


Entry 19:
# CoCuCl2

A relaxed CoCuCl2 crystal (PBE-GGA, Alexandria).

Results
ΔE_f (raw) in kcal/mol of atoms: -2.37
Energy above the lowest structure with this stoichiometry in meV/atom: 32
Density of states at the Fermi level in states/eV/atom: 1.9173
Crystal system: trigonal

```
4
Lattice="2.080 0.000 6.915 -1.040 1.801 6.915 -1.040 -1.801 6.915" Properties=species:S:1:pos:R:3 pbc="T T T"
Co 0.000 0.000 10.373
Cu 0.000 0.000 0.000
Cl 0.000 0.000 18.590
Cl 0.000 0.000 2.156
```


Entry 20:
# SmTmTl

A relaxed SmTmTl crystal (PBE-GGA, Alexandria).

Results
Energy above the lowest structure with this stoichiometry in meV/atom: 485
Density of states at the Fermi level in states/eV/atom: 1.2718
Crystal system: orthorhombic

```
6
Lattice="4.905 0.000 0.000 0.000 6.808 0.099 0.000 -0.500 6.790" Properties=species:S:1:pos:R:3 pbc="T T T"
Tl 0.000 0.000 0.000
Tl 2.452 3.154 3.445
Tm 0.000 4.332 4.731
Tm 0.000 1.976 2.158
Sm 2.452 0.897 5.510
Sm 2.452 5.410 1.379
```


For reference, E by record: -6.9318; -3.0765; -5.2672; -4.5602; -5.4588; -7.1268; -4.3388; -5.0784; -3.5850; -4.0552; -3.8498; -3.7250; -5.9136; -5.0156; -7.1365; -4.1751; -3.0666; -3.1092; -3.8265; -3.6216 eV/atom.